[1]
Here is an optimized crystal structure of NaBe from the Alexandria database. Energies are from GGA-PBE.

Summary:
- Space group: P6_3/mmc, No. 194
- DOS at the Fermi energy: 0.594 states/eV per atom
- Energy relative to the elements: 0.62 eV per atom
- Crystal system: hexagonal
- Energy: -1.904 eV/atom

abc: 4.968 4.968 4.127
angles: 90.00 90.00 120.00
Sites, in units of the cell vectors:
Be1 0.000 0.000 0.500
Be2 0.000 0.000 0.000
Na1 0.667 0.333 0.750
Na2 0.333 0.667 0.250

=====

[2]
Here is an optimized crystal structure of NaBe from the Alexandria database. Energies are from GGA-PBE.

Summary:
- Space group: P-1, No. 2
- DOS at the Fermi energy: 0.408 states/eV per atom
- Energy relative to the elements: 0.65 eV per atom
- Crystal system: triclinic
- Energy: -1.877 eV/atom

abc: 4.053 5.152 5.160
angles: 119.96 89.82 112.63
Sites, in units of the cell vectors:
Be1 0.220 0.939 0.970
Be2 0.780 0.061 0.030
Na1 0.402 0.312 0.656
Na2 0.598 0.688 0.344

=====

- Which formula does entry 2 have?
  NaBe